Below is a relaxed structure of Nd6DyEr2, with properties calculated at the PBE-GGA level. Values from VASP.

```
&SYSTEM
  ibrav = 0, nat = 9, ntyp = 3
/
ATOMIC_SPECIES
Nd 144.24 Nd.upf
Dy 162.50 Dy.upf
Er 167.26 Er.upf
ATOMIC_POSITIONS angstrom
Nd -3.9211 -0.7891 -3.2037
Nd -3.4334 -7.1234 1.9591
Nd -4.9152 -5.3144 -0.8225
Nd -4.5061 -3.6141 2.4014
Nd -2.8484 -4.2984 -3.6461
Nd -2.4393 -2.5981 -0.4221
Dy 0.0000 0.0000 0.0000
Er -1.8654 0.1898 -6.0181
Er -5.4890 -8.1023 4.7734
CELL_PARAMETERS angstrom
-3.5447 0.7909 0.0337
0.1929 1.1767 -8.8086
-4.0027 -9.8801 7.5303
```

## Properties
ΔH_f (0 K) (eV/atom): 0.02
Theoretical density (kg/m³): 7444
Total energy (Ry/atom): -0.344
E above lowest polymorph (eV per atom): 0.000
Crystal system: triclinic
Volume (Å³ per cell): 303.9

---

Below is a relaxed structure of Nd3Dy2Er6, with properties calculated at the PBE-GGA level. Values from VASP.

```
&SYSTEM
  ibrav = 0, nat = 11, ntyp = 3
/
ATOMIC_SPECIES
Nd 144.24 Nd.upf
Dy 162.50 Dy.upf
Er 167.26 Er.upf
ATOMIC_POSITIONS angstrom
Nd 0.0000 0.0000 0.0000
Nd 2.3698 2.3698 9.8096
Nd 0.0000 0.0000 6.7673
Dy 0.0000 0.0000 15.0420
Dy 2.3698 2.3698 1.5349
Er 0.0000 2.3698 3.9960
Er 2.3698 0.0000 3.9960
Er 2.3698 0.0000 12.5809
Er 0.0000 2.3698 12.5809
Er 2.3698 2.3698 6.3652
Er 0.0000 0.0000 10.2117
CELL_PARAMETERS angstrom
4.7395 0.0000 0.0000
0.0000 4.7395 0.0000
-2.3698 -2.3698 16.5769
```

## Properties
ΔH_f (0 K) (eV/atom): 0.27
Theoretical density (kg/m³): 7854
Total energy (Ry/atom): -0.320
E above lowest polymorph (eV per atom): 0.070
Crystal system: tetragonal
Volume (Å³ per cell): 372.4

---

Below is a relaxed structure of NdDy2Er4, with properties calculated at the PBE-GGA level. Values from VASP.

```
&SYSTEM
  ibrav = 0, nat = 7, ntyp = 3
/
ATOMIC_SPECIES
Nd 144.24 Nd.upf
Dy 162.50 Dy.upf
Er 167.26 Er.upf
ATOMIC_POSITIONS angstrom
Nd 0.0000 0.0000 0.0000
Dy 2.9226 -1.5082 0.5014
Dy 0.8490 -3.8390 5.3219
Er 3.5710 -2.6278 3.5216
Er -2.5754 -3.9660 4.3253
Er 0.2006 -2.7194 2.3017
Er 6.3470 -1.3812 1.4979
CELL_PARAMETERS angstrom
-1.4287 -3.0951 -0.8377
9.3467 -0.2700 -0.4540
-4.1463 -1.9821 7.1149
```

## Properties
ΔH_f (0 K) (eV/atom): 0.04
Theoretical density (kg/m³): 8573
Total energy (Ry/atom): -0.336
E above lowest polymorph (eV per atom): 0.000
Crystal system: triclinic
Volume (Å³ per cell): 220.5

---

Below is a relaxed structure of Nd2DyErO6, with properties calculated at the PBE-GGA level. Values from VASP.

```
&SYSTEM
  ibrav = 0, nat = 10, ntyp = 4
/
ATOMIC_SPECIES
Nd 144.24 Nd.upf
Dy 162.50 Dy.upf
Er 167.26 Er.upf
O 16.00 O.upf
ATOMIC_POSITIONS angstrom
Nd 5.9427 3.4311 2.0629
Nd 2.9713 1.7157 4.6124
Dy 8.9140 5.1466 2.9035
Er 2.9713 1.7155 0.3461
O 4.9573 1.4258 1.3208
O 4.6986 5.2870 1.3207
O 8.1720 3.5804 1.3210
O 6.9080 4.8499 3.8726
O 6.6885 1.8857 3.8727
O 4.2313 3.5579 3.8726
CELL_PARAMETERS angstrom
5.9427 0.0000 0.0002
2.9713 5.1465 0.0000
2.9713 1.7157 5.0854
```

## Properties
Formation energy without anion corrections (meV per atom): -3444
Theoretical density (kg/m³): 7626
Total energy (Ry/atom): -0.609
Crystal system: trigonal
Volume (Å³ per cell): 155.5

---

Below is a relaxed structure of Nd2Dy3Er6Pb, with properties calculated at the PBE-GGA level. Values from VASP.

```
&SYSTEM
  ibrav = 0, nat = 12, ntyp = 4
/
ATOMIC_SPECIES
Nd 144.24 Nd.upf
Dy 162.50 Dy.upf
Er 167.26 Er.upf
Pb 207.20 Pb.upf
ATOMIC_POSITIONS angstrom
Nd -1.7101 0.2641 -3.0518
Nd -1.4073 3.0649 -0.9661
Dy -6.2614 -3.1232 -0.7878
Dy -5.6559 2.4785 3.3836
Dy -5.9586 -0.3224 1.2979
Er -8.7932 0.9082 2.9545
Er -4.5721 1.5170 -1.3734
Er -3.1241 -1.5529 -0.3587
Er -9.0911 -1.8472 0.9027
Er -7.3452 -2.1617 3.9692
Er -2.8262 1.2024 1.6932
Pb 0.0000 0.0000 0.0000
CELL_PARAMETERS angstrom
-1.1038 5.8726 1.1247
-2.0136 -2.5436 -5.1426
-8.7999 -3.9737 6.6137
```

## Properties
ΔH_f (0 K) (eV/atom): -0.07
Theoretical density (kg/m³): 8943
Total energy (Ry/atom): -0.338
Crystal system: monoclinic
Volume (Å³ per cell): 368.9

---

Below is a relaxed structure of Nd3Dy2Er6Pb, with properties calculated at the PBE-GGA level. Values from VASP.

```
&SYSTEM
  ibrav = 0, nat = 12, ntyp = 4
/
ATOMIC_SPECIES
Nd 144.24 Nd.upf
Dy 162.50 Dy.upf
Er 167.26 Er.upf
Pb 207.20 Pb.upf
ATOMIC_POSITIONS angstrom
Nd 3.7203 -1.8381 5.6825
Nd 0.0894 4.2189 5.6306
Nd 1.9048 1.1904 5.6566
Dy -1.0791 -2.6835 2.0332
Dy -2.8906 0.3384 2.0073
Er 1.9862 3.2942 8.5334
Er -1.0799 -0.6059 4.8280
Er 1.8234 -0.9135 2.7797
Er 3.7769 0.3071 8.5590
Er 4.8895 2.9867 6.4851
Er 0.0328 2.0736 2.7541
Pb 0.0000 0.0000 0.0000
CELL_PARAMETERS angstrom
-4.7140 3.3801 1.9812
0.7442 -5.7252 2.0593
7.7794 4.7258 7.2726
```

## Properties
ΔH_f (0 K) (eV/atom): -0.05
Theoretical density (kg/m³): 8758
Total energy (Ry/atom): -0.338
Crystal system: monoclinic
Volume (Å³ per cell): 373.2

---

Below is a relaxed structure of PmNdDy4Er2, with properties calculated at the PBE-GGA level. Values from VASP.

```
&SYSTEM
  ibrav = 0, nat = 16, ntyp = 4
/
ATOMIC_SPECIES
Pm 145.00 Pm.upf
Nd 144.24 Nd.upf
Dy 162.50 Dy.upf
Er 167.26 Er.upf
ATOMIC_POSITIONS angstrom
Pm -0.0194 4.6668 -0.8828
Pm 6.3669 1.6852 1.5215
Nd 1.7000 1.7012 2.4044
Nd 3.4388 -5.9311 6.5743
Dy 2.3485 6.9570 -1.7579
Dy 4.0783 -0.6842 2.3966
Dy -0.6783 4.0867 2.4121
Dy 1.0517 -3.5545 6.5665
Dy 6.9197 6.9724 -2.6263
Dy 4.0274 4.0781 1.4994
Dy -0.6274 -0.6756 3.3092
Dy -3.5197 -3.5699 7.4350
Er 4.6668 -0.0161 -0.8828
Er 1.7194 -2.9656 3.2871
Er -2.9474 -2.9495 4.1699
Er 4.6475 4.6507 -1.7656
CELL_PARAMETERS angstrom
9.3337 -0.0322 -1.7656
-0.0387 9.3337 -1.7656
-5.8949 -5.8990 8.3399
```

## Properties
ΔH_f (0 K) (eV/atom): 0.43
Theoretical density (kg/m³): 7960
Total energy (Ry/atom): -0.309
Crystal system: monoclinic
Volume (Å³ per cell): 531.4

---

Below is a relaxed structure of Pm6NdDy2Er3, with properties calculated at the PBE-GGA level. Values from VASP.

```
&SYSTEM
  ibrav = 0, nat = 12, ntyp = 4
/
ATOMIC_SPECIES
Pm 145.00 Pm.upf
Nd 144.24 Nd.upf
Dy 162.50 Dy.upf
Er 167.26 Er.upf
ATOMIC_POSITIONS angstrom
Pm -7.3238 3.4975 4.8310
Pm -1.9208 0.5702 4.6908
Pm -0.7669 2.8189 2.1245
Pm -4.7722 5.9426 5.5787
Pm -6.1699 5.7462 2.2647
Pm -3.3185 0.3739 1.3769
Nd 0.0000 0.0000 0.0000
Dy 1.3938 0.1921 3.3186
Dy -1.1513 -2.2467 2.5729
Er -1.5007 5.5966 4.2234
Er -6.5900 0.7198 2.7322
Er -4.0453 3.1582 3.4778
CELL_PARAMETERS angstrom
-3.6983 -4.6873 1.8266
3.9408 2.6327 4.0649
-8.3332 8.3710 1.0640
```

## Properties
ΔH_f (0 K) (eV/atom): 0.01
Theoretical density (kg/m³): 7754
Total energy (Ry/atom): -0.343
Crystal system: monoclinic
Volume (Å³ per cell): 394.2

---

Below is a relaxed structure of Pm4NdDyEr2, with properties calculated at the PBE-GGA level. Values from VASP.

```
&SYSTEM
  ibrav = 0, nat = 8, ntyp = 4
/
ATOMIC_SPECIES
Pm 145.00 Pm.upf
Nd 144.24 Nd.upf
Dy 162.50 Dy.upf
Er 167.26 Er.upf
ATOMIC_POSITIONS angstrom
Pm 0.0001 6.4439 8.6217
Pm 3.6135 2.1424 2.9253
Pm 1.8068 5.2656 2.8292
Pm 1.8068 3.3207 8.7178
Nd 1.8068 3.1173 -0.0680
Dy 0.0000 4.2931 5.7735
Er 0.0000 2.3517 11.6830
Er 1.8068 1.1759 5.8415
CELL_PARAMETERS angstrom
3.6135 0.0000 0.0000
0.0000 6.2346 -0.1360
0.0000 2.3517 11.6830
```

## Properties
ΔH_f (0 K) (eV/atom): 0.02
Theoretical density (kg/m³): 7671
Total energy (Ry/atom): -0.343
Crystal system: monoclinic
Volume (Å³ per cell): 264.4

---

Below is a relaxed structure of Pm3Nd6DyEr2, with properties calculated at the PBE-GGA level. Values from VASP.

```
&SYSTEM
  ibrav = 0, nat = 12, ntyp = 4
/
ATOMIC_SPECIES
Pm 145.00 Pm.upf
Nd 144.24 Nd.upf
Dy 162.50 Dy.upf
Er 167.26 Er.upf
ATOMIC_POSITIONS angstrom
Pm -2.0907 -1.6729 6.7277
Pm -6.7107 1.6354 2.1733
Pm -4.4007 -0.0187 4.4505
Nd -7.7793 0.8175 5.5713
Nd -3.8757 -2.6742 1.9890
Nd -1.0221 -0.8550 3.3297
Nd -5.4670 -0.8383 7.8508
Nd -4.9257 2.6367 6.9120
Nd -3.3344 0.8008 1.0502
Dy 0.0000 0.0000 0.0000
Er -0.5438 -3.4761 0.9379
Er -2.8540 -1.8218 -1.3395
CELL_PARAMETERS angstrom
-5.1646 -0.1672 -3.6172
1.7668 -5.1306 3.2157
-5.4036 5.2604 9.3026
```

## Properties
ΔH_f (0 K) (eV/atom): 0.01
Theoretical density (kg/m³): 7349
Total energy (Ry/atom): -0.346
Crystal system: monoclinic
Volume (Å³ per cell): 406.2

---

Below is a relaxed structure of PmNd2DyEr5, with properties calculated at the PBE-GGA level. Values from VASP.

```
&SYSTEM
  ibrav = 0, nat = 18, ntyp = 4
/
ATOMIC_SPECIES
Pm 145.00 Pm.upf
Nd 144.24 Nd.upf
Dy 162.50 Dy.upf
Er 167.26 Er.upf
ATOMIC_POSITIONS angstrom
Pm 0.0000 0.0000 3.8651
Pm 4.3398 4.3398 3.8651
Nd 1.0158 3.3240 0.0000
Nd 5.3556 1.0158 0.0000
Nd 3.3240 7.6638 0.0000
Nd 7.6638 5.3556 0.0000
Dy 0.0000 4.3398 3.8651
Dy 4.3398 0.0000 3.8651
Er 6.8497 2.5099 2.1404
Er 2.5099 -1.8299 5.5899
Er -2.5099 1.8299 5.5899
Er -1.8299 -2.5099 5.5899
Er 1.8299 2.5099 5.5899
Er 6.1697 6.8497 2.1404
Er 2.5099 1.8299 2.1404
Er 1.8299 6.1697 2.1404
Er 4.3398 4.3398 0.0000
Er 0.0000 0.0000 0.0000
CELL_PARAMETERS angstrom
8.6797 0.0000 0.0000
0.0000 8.6797 0.0000
-4.3398 -4.3398 7.7303
```

## Properties
ΔH_f (0 K) (eV/atom): 0.26
Theoretical density (kg/m³): 8168
Total energy (Ry/atom): -0.321
Crystal system: tetragonal
Volume (Å³ per cell): 582.4

---

Below is a relaxed structure of PmNdDy2Er5, with properties calculated at the PBE-GGA level. Values from VASP.

```
&SYSTEM
  ibrav = 0, nat = 18, ntyp = 4
/
ATOMIC_SPECIES
Pm 145.00 Pm.upf
Nd 144.24 Nd.upf
Dy 162.50 Dy.upf
Er 167.26 Er.upf
ATOMIC_POSITIONS angstrom
Pm 0.0000 0.0000 3.7474
Pm 4.3901 4.3901 3.7474
Nd 0.0000 4.3901 3.7474
Nd 4.3901 0.0000 3.7474
Dy 1.0125 3.3776 0.0000
Dy 5.4026 1.0125 0.0000
Dy 3.3776 7.7677 0.0000
Dy 7.7677 5.4026 0.0000
Er 6.9859 2.5958 1.9981
Er 2.5958 -1.7943 5.4968
Er -2.5958 1.7943 5.4968
Er -1.7943 -2.5958 5.4968
Er 1.7943 2.5958 5.4968
Er 6.1844 6.9859 1.9981
Er 2.5958 1.7943 1.9981
Er 1.7943 6.1844 1.9981
Er 4.3901 4.3901 0.0000
Er 0.0000 0.0000 0.0000
CELL_PARAMETERS angstrom
8.7802 0.0000 0.0000
0.0000 8.7802 0.0000
-4.3901 -4.3901 7.4949
```

## Properties
ΔH_f (0 K) (eV/atom): 0.28
Theoretical density (kg/m³): 8337
Total energy (Ry/atom): -0.319
Crystal system: tetragonal
Volume (Å³ per cell): 577.8

---

- Among the records above, which one has the highest volume?
  PmNd2DyEr5